Here is crystalline Rb2Sr2Hg3 at its relaxed geometry from the Open Quantum Materials Database. Energies are from PBE-GGA.

Cell lengths 10.1990, 10.1990, 10.1990 Å; angles 33.47, 33.47, 33.47 degrees
With the nearest neighbours (Å) after each atom.
Fractional positions:
Rb 0.0000 0.0000 0.0000  7 Hg 3.60-3.70
Rb 0.4970 0.4970 0.4970  5 Hg 3.52-3.63
Sr 0.2529 0.2529 0.2529  7 Hg 3.52-3.66
Sr 0.7444 0.7444 0.7444  5 Hg 3.51-3.67
Hg 0.3750 0.3750 0.3750  4 Rb 3.52-3.60, 4 Sr 3.52-3.55
Hg 0.6229 0.6229 0.6229  4 Sr 3.51-3.55, 4 Rb 3.62-3.63
Hg 0.8716 0.8716 0.8716  4 Rb 3.59-3.70, 4 Sr 3.66-3.67

DFT total energy (eV/atom): -1.0699

---

Here is crystalline HfPb2O4 at its relaxed geometry from the Open Quantum Materials Database. Energies are from PBE-GGA.

Cell lengths 6.9532, 6.9532, 6.9532 Å; angles 60.00, 60.00, 60.00 degrees
With the nearest neighbours (Å) after each atom.
Fractional positions:
Hf 0.1250 0.1250 0.1250  4 O 1.97
Hf 0.8750 0.8750 0.8750  4 O 1.97
Pb 0.0000 0.5000 0.5000  6 O 2.55
Pb 0.5000 0.0000 0.5000  6 O 2.55
Pb 0.5000 0.5000 0.0000  6 O 2.55
Pb 0.5000 0.5000 0.5000  6 O 2.55
O 0.2221 0.7593 0.7593  1 Hf 1.97
O 0.2407 0.2407 0.2407  1 Hf 1.97
O 0.2407 0.2407 0.7779  1 Hf 1.97
O 0.2407 0.7779 0.2407  1 Hf 1.97
O 0.7593 0.2221 0.7593  1 Hf 1.97
O 0.7593 0.7593 0.2221  1 Hf 1.97
O 0.7593 0.7593 0.7593  1 Hf 1.97
O 0.7779 0.2407 0.2407  1 Hf 1.97

DFT total energy (eV/atom): -7.2449
M_tot (μB/cell): 0.00

---

Here is crystalline HfCuTcPb at its relaxed geometry from the Open Quantum Materials Database. Energies are from PBE-GGA.

Cell lengths 4.6540, 4.6540, 4.6540 Å; angles 60.00, 60.00, 60.00 degrees
With the nearest neighbours (Å) after each atom.
Fractional positions:
Hf 0.0000 0.0000 0.0000  4 Tc 2.85, 4 Cu 2.85
Cu 0.7500 0.7500 0.7500  4 Pb 2.85, 4 Hf 2.85
Tc 0.2500 0.2500 0.2500  4 Hf 2.85, 4 Pb 2.85
Pb 0.5000 0.5000 0.5000  4 Tc 2.85, 4 Cu 2.85

Energy above the lowest structure with this stoichiometry (meV per atom): 0.0
M_tot (μB/cell): 0.00

---

Here is crystalline CsAu8 at its relaxed geometry from the Open Quantum Materials Database. Energies are from PBE-GGA.

Cell lengths 8.9680, 8.9680, 4.8084 Å; angles 90.00, 90.00, 120.00 degrees
With the nearest neighbours (Å) after each atom.
Fractional positions:
Cs 0.0000 0.0000 0.0000  12 Au 3.55
Au 0.1680 0.3360 0.5000  3 Au 2.57-2.61
Au 0.1680 0.8320 0.5000  3 Au 2.57-2.61
Au 0.3333 0.6667 0.5000  3 Au 2.57
Au 0.3360 0.1680 0.5000  3 Au 2.57-2.61
Au 0.6640 0.8320 0.5000  3 Au 2.57-2.61
Au 0.6667 0.3333 0.5000  3 Au 2.57
Au 0.8320 0.1680 0.5000  3 Au 2.57-2.61
Au 0.8320 0.6640 0.5000  3 Au 2.57-2.61

DFT total energy (eV/atom): -2.4783

---

Here is crystalline Pr2SmGe4Pd4 at its relaxed geometry from the Open Quantum Materials Database. Energies are from PBE-GGA.

Cell lengths 12.9788, 12.9788, 12.9788 Å; angles 161.60, 160.60, 26.86 degrees
With the nearest neighbours (Å) after each atom.
Fractional positions:
Pr 0.1475 0.1475 0.0000  6 Ge 3.23-3.24, 8 Pd 3.28-3.39
Pr 0.8525 0.8525 0.0000  6 Ge 3.23-3.24, 8 Pd 3.28-3.39
Sm 0.5000 0.0000 0.5000  4 Pd 3.19, 8 Ge 3.26
Ge 0.0494 0.5494 0.5000  2 Pd 2.48, 1 Ge 2.50
Ge 0.3049 0.3049 0.0000  5 Pd 2.50-2.59
Ge 0.6951 0.6951 0.0000  5 Pd 2.50-2.59
Ge 0.9506 0.4506 0.5000  2 Pd 2.48, 1 Ge 2.50
Pd 0.2498 0.7498 0.5000  4 Ge 2.50-2.59
Pd 0.4038 0.4038 0.0000  3 Ge 2.48-2.50
Pd 0.5962 0.5962 0.0000  3 Ge 2.48-2.50
Pd 0.7502 0.2502 0.5000  4 Ge 2.50-2.59

DFT total energy (eV/atom): -5.7439
M_tot (μB/cell): 0.02

---

Here is crystalline Pr3Sn3Pb4 at its relaxed geometry from the Open Quantum Materials Database. Energies are from PBE-GGA.

Cell lengths 13.3561, 13.3561, 4.7819 Å; angles 90.00, 90.00, 159.81 degrees
With the nearest neighbours (Å) after each atom.
Fractional positions:
Pr 0.0000 0.0000 0.0000  4 Sn 3.35, 8 Pb 3.44-3.50
Pr 0.1888 0.8112 0.0000  4 Pb 3.38-3.40, 6 Sn 3.39-3.57
Pr 0.8112 0.1888 0.0000  4 Pb 3.38-3.40, 6 Sn 3.39-3.57
Sn 0.2899 0.7101 0.5000  2 Sn 3.14, 4 Pr 3.39
Sn 0.5000 0.5000 0.5000  4 Pr 3.35, 8 Pb 3.46-3.47
Sn 0.7101 0.2899 0.5000  2 Sn 3.14, 4 Pr 3.39
Pb 0.0970 0.9030 0.5000  4 Pb 3.35, 4 Pr 3.40-3.50, 2 Sn 3.46
Pb 0.4041 0.5959 0.0000  4 Pb 3.35, 4 Pr 3.38-3.44, 2 Sn 3.47
Pb 0.5959 0.4041 0.0000  4 Pb 3.35, 4 Pr 3.38-3.44, 2 Sn 3.47
Pb 0.9030 0.0970 0.5000  4 Pb 3.35, 4 Pr 3.40-3.50, 2 Sn 3.46

DFT total energy (eV/atom): -4.6271
M_tot (μB/cell): 0.01

---

Here is crystalline CsSrDySe3 at its relaxed geometry from the Open Quantum Materials Database. Energies are from PBE-GGA.

Cell lengths 8.5640, 8.5640, 12.4019 Å; angles 90.00, 90.00, 148.15 degrees
With the nearest neighbours (Å) after each atom.
Fractional positions:
Cs 0.2474 0.7526 0.7500  6 Se 3.85-3.92
Cs 0.7526 0.2474 0.2500  6 Se 3.85-3.92
Sr 0.5000 0.5000 0.0000  6 Se 3.17-3.27
Sr 0.5000 0.5000 0.5000  6 Se 3.17-3.27
Dy 0.0281 0.9719 0.2500  4 Se 2.67-2.78
Dy 0.9719 0.0281 0.7500  4 Se 2.67-2.78
Se 0.1176 0.8824 0.0710  1 Dy 2.67
Se 0.1176 0.8824 0.4290  1 Dy 2.67
Se 0.4378 0.5622 0.2500  2 Dy 2.78
Se 0.5622 0.4378 0.7500  2 Dy 2.78
Se 0.8824 0.1176 0.5710  1 Dy 2.67
Se 0.8824 0.1176 0.9290  1 Dy 2.67

DFT total energy (eV/atom): -4.6170
M_tot (μB/cell): 0.01

---

Here is crystalline GdCuPt at its relaxed geometry from the Open Quantum Materials Database. Energies are from PBE-GGA.

Cell lengths 4.5375, 4.5375, 4.5375 Å; angles 60.00, 60.00, 60.00 degrees
With the nearest neighbours (Å) after each atom.
Fractional positions:
Gd 0.0000 0.0000 0.0000  4 Pt 2.78
Cu 0.5000 0.5000 0.5000  4 Pt 2.78
Pt 0.7500 0.7500 0.7500  4 Cu 2.78, 4 Gd 2.78

M_tot (μB/cell): 0.00
ΔE_f (eV/f.u.): -1.8

---

Here is crystalline TmTaGa at its relaxed geometry from the Open Quantum Materials Database. Energies are from PBE-GGA.

Cell lengths 4.5637, 4.5637, 4.5637 Å; angles 60.00, 60.00, 60.00 degrees
With the nearest neighbours (Å) after each atom.
Fractional positions:
Tm 0.0000 0.0000 0.0000  4 Ga 2.79
Ta 0.5000 0.5000 0.5000  4 Ga 2.79
Ga 0.7500 0.7500 0.7500  4 Ta 2.79, 4 Tm 2.79

Energy above the lowest structure with this stoichiometry (meV per atom): 0.0
M_tot (μB/cell): 0.04

---

Here is crystalline KNdPa at its relaxed geometry from the Open Quantum Materials Database. Energies are from PBE-GGA.

Cell lengths 5.4927, 5.4927, 5.4927 Å; angles 60.00, 60.00, 60.00 degrees
With the nearest neighbours (Å) after each atom.
Fractional positions:
K 0.0000 0.0000 0.0000  4 Nd 3.36
Nd 0.7500 0.7500 0.7500  4 K 3.36, 4 Pa 3.36
Pa 0.5000 0.5000 0.5000  4 Nd 3.36

Energy above the lowest structure with this stoichiometry (meV per atom): 0.0
M_tot (μB/cell): 2.24